Here is an optimized crystal structure of PmAgTeO from OQMD via LeMat-Bulk. Energies are from GGA-PBE.

Summary:
For the energy above the most stable polymorph in this dataset, the calculation gives 28 meV/atom.

Cell: 9.237 5.980 5.977 Å, 90.00 90.22 90.00°
Atoms (fractional coordinates):
1 O 0.500 0.750 0.000
2 O 0.500 0.750 0.500
3 O 0.500 0.250 0.000
4 O 0.500 0.250 0.500
5 Pm 0.614 0.500 0.250
6 Pm 0.386 0.000 0.250
7 Pm 0.614 0.000 0.750
8 Pm 0.386 0.500 0.750
9 Te 0.792 0.000 0.249
10 Te 0.792 0.500 0.749
11 Te 0.208 0.500 0.251
12 Te 0.208 0.000 0.751
13 Ag 0.000 0.250 0.000
14 Ag 0.000 0.250 0.500
15 Ag 0.000 0.750 0.000
16 Ag 0.000 0.750 0.500

=====

Here is an optimized crystal structure of SmAl2Ag2 from OQMD via LeMat-Bulk. Energies are from GGA-PBE.

Summary:
The total energy is -19.400 eV for the cell shown.

Cell: 4.264 4.264 6.413 Å, 109.42 109.42 90.00°
Atoms (fractional coordinates):
1 Sm 0.000 0.000 0.000
2 Al 0.750 0.250 0.500
3 Al 0.250 0.750 0.500
4 Ag 0.618 0.618 0.237
5 Ag 0.382 0.382 0.763

=====

Here is an optimized crystal structure of InTcW2 from OQMD via LeMat-Bulk. Energies are from GGA-PBE.

Summary:
The total energy is -37.382 eV for the cell shown.

Cell: 4.552 4.552 4.552 Å, 60.00 60.00 60.00°
Atoms (fractional coordinates):
1 In 0.500 0.500 0.500
2 Tc 0.250 0.250 0.250
3 W 0.750 0.750 0.750
4 W 0.000 0.000 0.000

=====

Here is an optimized crystal structure of Nb2Si2SbP from OQMD via LeMat-Bulk. Energies are from GGA-PBE.

Summary:
The total energy is -39.927 eV for the cell shown.

Cell: 3.934 3.934 8.168 Å, 90.00 90.00 90.00°
Atoms (fractional coordinates):
1 Nb 0.000 0.500 0.992
2 Nb 0.500 0.000 0.992
3 Sb 0.500 0.500 0.288
4 Si 0.500 0.500 0.735
5 Si 0.000 0.000 0.236
6 P 0.000 0.000 0.757

=====

Here is an optimized crystal structure of ScCoTcAs from OQMD via LeMat-Bulk. Energies are from GGA-PBE.

Summary:
For the energy above the most stable polymorph in this dataset, the calculation gives 372 meV/atom.

Cell: 4.437 4.437 4.437 Å, 60.00 60.00 60.00°
Atoms (fractional coordinates):
1 Co 0.750 0.750 0.750
2 Sc 0.250 0.250 0.250
3 Tc 0.500 0.500 0.500
4 As 0.000 0.000 0.000

=====

Here is an optimized crystal structure of Mo from OQMD via LeMat-Bulk. Energies are from GGA-PBE.

Summary:
For the formation energy, the calculation gives 2.2372 eV/atom. For the energy above the most stable polymorph in this dataset, the calculation gives 2237 meV/atom.

Cell: 4.028 4.028 4.028 Å, 120.00 90.00 120.00°
Atoms (fractional coordinates):
1 Mo 0.000 0.000 0.000
2 Mo 0.250 0.500 0.750

=====

Here is an optimized crystal structure of Ho2Zn3Ge5 from OQMD via LeMat-Bulk. Energies are from GGA-PBE.

Summary:
The total energy is -76.302 eV for the cell shown.

Cell: 8.308 8.308 6.198 Å, 104.22 104.22 94.91°
Atoms (fractional coordinates):
1 Ge 0.282 0.067 0.678
2 Ge 0.226 0.774 0.750
3 Ge 0.067 0.282 0.178
4 Ge 0.797 0.203 0.750
5 Ge 0.493 0.507 0.750
6 Ge 0.933 0.718 0.822
7 Ge 0.507 0.493 0.250
8 Ge 0.718 0.933 0.322
9 Ge 0.774 0.226 0.250
10 Ge 0.203 0.797 0.250
11 Ho 0.864 0.600 0.221
12 Ho 0.400 0.136 0.279
13 Ho 0.136 0.400 0.779
14 Ho 0.600 0.864 0.721
15 Zn 0.544 0.254 0.906
16 Zn 0.254 0.544 0.406
17 Zn 0.456 0.746 0.094
18 Zn 0.001 0.999 0.250
19 Zn 0.999 0.001 0.750
20 Zn 0.746 0.456 0.594

=====

Here is an optimized crystal structure of YZrCuSb from OQMD via LeMat-Bulk. Energies are from GGA-PBE.

Summary:
For the energy above the most stable polymorph in this dataset, the calculation gives 0 meV/atom.

Cell: 4.970 4.970 4.970 Å, 60.00 60.00 60.00°
Atoms (fractional coordinates):
1 Cu 0.750 0.750 0.750
2 Sb 0.000 0.000 0.000
3 Zr 0.250 0.250 0.250
4 Y 0.500 0.500 0.500

=====

Here is an optimized crystal structure of LaLuHf from OQMD via LeMat-Bulk. Energies are from GGA-PBE.

Summary:
For the formation energy, the calculation gives 0.8209 eV/atom. For the energy above the most stable polymorph in this dataset, the calculation gives 0 meV/atom.

Cell: 5.211 5.211 5.211 Å, 60.00 60.00 60.00°
Atoms (fractional coordinates):
1 Hf 0.000 0.000 0.000
2 La 0.250 0.250 0.250
3 Lu 0.750 0.750 0.750

=====

Here is an optimized crystal structure of InSiTe2AuS from OQMD via LeMat-Bulk. Energies are from GGA-PBE.

Summary:
The total energy is -44.390 eV for the cell shown.

Cell: 8.525 8.525 9.407 Å, 90.00 90.00 152.22°
Atoms (fractional coordinates):
1 Te 0.115 0.885 0.039
2 Te 0.115 0.885 0.461
3 Te 0.885 0.115 0.539
4 Te 0.885 0.115 0.961
5 S 0.524 0.476 0.750
6 S 0.476 0.524 0.250
7 Au 0.130 0.870 0.750
8 Au 0.870 0.130 0.250
9 In 0.743 0.257 0.750
10 In 0.257 0.743 0.250
11 Si 0.500 0.500 0.000
12 Si 0.500 0.500 0.500

=====

Here is an optimized crystal structure of DyErU from OQMD via LeMat-Bulk. Energies are from GGA-PBE.

Summary:
For the formation energy, the calculation gives 1.2758 eV/atom. For the energy above the most stable polymorph in this dataset, the calculation gives 0 meV/atom.

Cell: 5.239 5.239 5.239 Å, 60.00 60.00 60.00°
Atoms (fractional coordinates):
1 Er 0.000 0.000 0.000
2 Dy 0.250 0.250 0.250
3 U 0.750 0.750 0.750

=====

Here is an optimized crystal structure of Nd3Hg3PdPt2 from OQMD via LeMat-Bulk. Energies are from GGA-PBE.

Summary:
For the formation energy, the calculation gives -0.8027 eV/atom.

Cell: 7.850 7.850 3.926 Å, 90.00 90.00 120.00°
Atoms (fractional coordinates):
1 Pt 0.667 0.333 0.500
2 Pt 0.333 0.667 0.500
3 Nd 0.000 0.404 0.000
4 Nd 0.596 0.596 0.000
5 Nd 0.404 0.000 0.000
6 Pd 0.000 0.000 0.000
7 Hg 0.741 0.000 0.500
8 Hg 0.259 0.259 0.500
9 Hg 0.000 0.741 0.500

=====

Here is an optimized crystal structure of RbPaO3 from OQMD via LeMat-Bulk. Energies are from GGA-PBE.

Summary:
The total energy is -23.294 eV for the cell shown.

Cell: 4.891 4.891 4.891 Å, 90.00 90.00 90.00°
Atoms (fractional coordinates):
1 Pa 0.000 0.000 0.000
2 O 0.500 0.000 0.500
3 O 0.000 0.500 0.500
4 O 0.500 0.500 0.000
5 Rb 0.500 0.500 0.500

=====

Here is an optimized crystal structure of DyHoNCl2 from OQMD via LeMat-Bulk. Energies are from GGA-PBE.

Summary:
The total energy is -31.076 eV for the cell shown.

Cell: 3.589 3.589 10.001 Å, 90.00 90.00 120.00°
Atoms (fractional coordinates):
1 Cl 0.000 0.000 0.195
2 Cl 0.667 0.333 0.807
3 N 0.333 0.667 0.498
4 Ho 0.667 0.333 0.371
5 Dy 0.000 0.000 0.629

=====

Here is an optimized crystal structure of TlTe3MoAu from OQMD via LeMat-Bulk. Energies are from GGA-PBE.

Summary:
The total energy is -51.724 eV for the cell shown.

Cell: 8.081 8.081 10.763 Å, 90.00 90.00 28.62°
Atoms (fractional coordinates):
1 Mo 0.000 0.000 0.500
2 Mo 0.000 0.000 0.000
3 Tl 0.770 0.770 0.750
4 Tl 0.230 0.230 0.250
5 Te 0.074 0.074 0.750
6 Te 0.628 0.628 0.026
7 Te 0.372 0.372 0.526
8 Te 0.926 0.926 0.250
9 Te 0.628 0.628 0.474
10 Te 0.372 0.372 0.974
11 Au 0.451 0.451 0.750
12 Au 0.549 0.549 0.250

=====

Here is an optimized crystal structure of LiHfPd2 from OQMD via LeMat-Bulk. Energies are from GGA-PBE.

Summary:
For the energy above the most stable polymorph in this dataset, the calculation gives 0 meV/atom.

Cell: 3.292 3.292 5.977 Å, 90.00 90.00 90.00°
Atoms (fractional coordinates):
1 Li 0.000 0.000 0.500
2 Pd 0.500 0.500 0.740
3 Pd 0.500 0.500 0.260
4 Hf 0.000 0.000 0.000

=====

Here is an optimized crystal structure of PmTe2 from OQMD via LeMat-Bulk. Energies are from GGA-PBE.

Summary:
For the energy above the most stable polymorph in this dataset, the calculation gives 1147 meV/atom.

Cell: 6.392 6.392 6.392 Å, 60.00 60.00 60.00°
Atoms (fractional coordinates):
1 Te 0.625 0.625 0.125
2 Te 0.125 0.625 0.625
3 Te 0.625 0.125 0.625
4 Te 0.625 0.625 0.625
5 Pm 0.000 0.000 0.000
6 Pm 0.250 0.250 0.250

=====

Here is an optimized crystal structure of Zr4Hg3 from OQMD via LeMat-Bulk. Energies are from GGA-PBE.

Summary:
For the formation energy, the calculation gives -0.0358 eV/atom. For the energy above the most stable polymorph in this dataset, the calculation gives 0 meV/atom.

Cell: 8.414 8.414 4.974 Å, 90.00 90.00 60.00°
Atoms (fractional coordinates):
1 Zr 0.555 0.167 0.000
2 Zr 0.429 0.857 0.000
3 Zr 0.993 0.983 0.000
4 Zr 0.969 0.214 0.500
5 Zr 0.786 0.959 0.500
6 Zr 0.531 0.398 0.500
7 Zr 0.095 0.524 0.500
8 Zr 0.738 0.422 0.000
9 Hg 0.295 0.572 0.000
10 Hg 0.847 0.724 0.000
11 Hg 0.677 0.657 0.500
12 Hg 0.380 0.105 0.500
13 Hg 0.143 0.276 0.000
14 Hg 0.229 0.809 0.500

=====

Here is an optimized crystal structure of Ba2Na2Hg3 from OQMD via LeMat-Bulk. Energies are from GGA-PBE.

Summary:
The total energy is -9.715 eV for the cell shown.

Cell: 9.601 9.601 9.601 Å, 34.45 34.45 34.45°
Atoms (fractional coordinates):
1 Ba 0.246 0.246 0.246
2 Ba 0.752 0.752 0.752
3 Na 0.501 0.501 0.501
4 Na 0.999 0.999 0.999
5 Hg 0.878 0.878 0.878
6 Hg 0.624 0.624 0.624
7 Hg 0.375 0.375 0.375

=====

Here is an optimized crystal structure of YAl2Ir from OQMD via LeMat-Bulk. Energies are from GGA-PBE.

Summary:
The total energy is -24.769 eV for the cell shown.

Cell: 4.646 4.646 4.646 Å, 60.00 60.00 60.00°
Atoms (fractional coordinates):
1 Y 0.250 0.250 0.250
2 Ir 0.500 0.500 0.500
3 Al 0.000 0.000 0.000
4 Al 0.750 0.750 0.750

=====

no.,mass density (g/cm3)
1,8.0
2,6.8
3,14.4
4,5.2
5,7.4
6,6.9
7,7.4
8,7.0
9,8.2
10,6.5
11,9.3
12,12.1
13,5.2
14,6.1
15,8.7
16,10.2
17,7.2
18,10.5
19,6.1
20,7.8